An optimized crystal structure of BeCo2Cu, computed with PBE.

abc: 8.8432 2.5885 3.9695
angles: 90.00 114.96 90.00
Space group C2/m (No. 12)
Inequivalent atoms, fractional coordinates:
1 Be 0.0000 0.0000 0.0000 [2 per cell]
2 Co 0.2301 0.5000 0.2302 [4 per cell]
3 Cu 0.0000 0.5000 0.5000 [2 per cell]

Computed properties:
E: -43.97 eV for the cell shown
density of states at the Fermi level: 3.91 states/eV/f.u.
theoretical density: 7.7 g/cm3
DFT formation energy: 0.01 eV/atom

---

An optimized crystal structure of ScSi4, computed with PBE.

abc: 3.6406 3.6406 12.4421
angles: 90.00 90.00 90.00
Space group I4/mmm (No. 139)
Inequivalent atoms, fractional coordinates:
1 Sc 0.0000 0.0000 0.0000 [2 per cell]
2 Si 0.0000 0.0000 0.4048 [4 per cell]
3 Si 0.0000 0.5000 0.2500 [4 per cell]

Computed properties:
E: -55.48 eV for the cell shown
density of states at the Fermi level: 2.21 states/eV/f.u.
energy relative to the elements, uncorrected: 0.056 eV per atom
theoretical density: 3.2 g/cm3

---

An optimized crystal structure of CoSn2IrPt, computed with PBE.

abc: 5.0118 5.0118 4.6254
angles: 90.00 90.00 90.00
Space group P4/mmm (No. 123)
Inequivalent atoms, fractional coordinates:
1 Co 0.0000 0.0000 0.0000 [1 per cell]
2 Sn 0.0000 0.5000 0.5000 [2 per cell]
3 Ir 0.5000 0.5000 0.0000 [1 per cell]
4 Pt 0.0000 0.0000 0.5000 [1 per cell]

Computed properties:
E: -25.05 eV for the cell shown
density of states at the Fermi level: 5.09 states/eV/f.u.
theoretical density: 9.8 g/cm3
DFT formation energy: 0.99 eV/atom

---

An optimized crystal structure of Ca3Mg7Ag2, computed with PBE.

abc: 6.1030 6.1030 28.8348
angles: 90.00 90.00 120.00
Space group R-3m (No. 166, hexagonal axes)
Inequivalent atoms, fractional coordinates:
1 Ca 0.0000 0.0000 0.0000 [3 per cell]
2 Ca 0.0000 0.0000 0.1441 [6 per cell]
3 Mg 0.0000 0.0000 0.5000 [3 per cell]
4 Mg 0.0019 0.5010 0.9221 [18 per cell]
5 Ag 0.0000 0.0000 0.3336 [6 per cell]

Computed properties:
E: -73.90 eV for the cell shown
density of states at the Fermi level: 9.17 states/eV/f.u.
theoretical density: 2.7 g/cm3
DFT formation energy: -0.15 eV/atom

---

An optimized crystal structure of Pr2PtAu, computed with PBE.

abc: 5.9655 4.6943 7.9118
angles: 90.00 110.17 90.00
Space group P2_1/m (No. 11)
Inequivalent atoms, fractional coordinates:
1 Pr 0.2192 0.2500 0.4356 [2 per cell]
2 Pr 0.2320 0.2500 0.9260 [2 per cell]
3 Pt 0.3253 0.7500 0.7066 [2 per cell]
4 Au 0.3234 0.7500 0.2073 [2 per cell]

Computed properties:
E: -45.43 eV for the cell shown
density of states at the Fermi level: 3.03 states/eV/f.u.
theoretical density: 10.8 g/cm3
DFT formation energy: -0.96 eV/atom

---

An optimized crystal structure of TbSm4HoS8, computed with PBE.

abc: 8.1813 8.1813 20.0008
angles: 90.00 90.00 120.00
Space group R3m (No. 160, hexagonal axes)
Inequivalent atoms, fractional coordinates:
1 Tb 0.0000 0.0000 0.0000 [3 per cell]
2 Sm 0.0000 0.0000 0.3762 [3 per cell]
3 Sm 0.0022 0.5011 0.5010 [9 per cell]
4 Ho 0.0000 0.0000 0.6255 [3 per cell]
5 S 0.0000 0.0000 0.2433 [3 per cell]
6 S 0.0000 0.0000 0.7550 [3 per cell]
7 S 0.0248 0.5124 0.7519 [9 per cell]
8 S 0.1747 0.3494 0.5841 [9 per cell]

Computed properties:
E: -264.04 eV for the cell shown
density of states at the Fermi level: 8.52 states/eV/f.u.
energy relative to the elements, uncorrected: -1.922 eV per atom
theoretical density: 5.1 g/cm3

---

An optimized crystal structure of Ba2Sc2O5, computed with PBE.

abc: 5.9740 16.5169 6.1307
angles: 90.00 90.00 90.00
Space group Pnma (No. 62)
Inequivalent atoms, fractional coordinates:
1 Ba 0.0023 0.1095 0.0154 [8 per cell]
2 Sc 0.0000 0.0000 0.5000 [4 per cell]
3 Sc 0.0326 0.2500 0.5692 [4 per cell]
4 O 0.0093 0.6379 0.5482 [8 per cell]
5 O 0.1460 0.7500 0.1556 [4 per cell]
6 O 0.2475 0.0074 0.7529 [8 per cell]

Computed properties:
E: -277.23 eV for the cell shown
density of states at the Fermi level: 0.00 states/eV/f.u.
energy relative to the elements, uncorrected: -3.112 eV per atom
theoretical density: 4.9 g/cm3

---

An optimized crystal structure of TbPmHoN3, computed with PBE.

abc: 6.0377 3.4989 9.0842
angles: 90.00 101.63 90.00
Space group P2_1/m (No. 11)
Inequivalent atoms, fractional coordinates:
1 Tb 0.2308 0.2500 0.4549 [2 per cell]
2 Pm 0.3449 0.7500 0.8024 [2 per cell]
3 Ho 0.1504 0.7500 0.1391 [2 per cell]
4 N 0.0357 0.2500 0.6556 [2 per cell]
5 N 0.2465 0.2500 0.0069 [2 per cell]
6 N 0.4609 0.7500 0.3301 [2 per cell]

Computed properties:
E: -94.97 eV for the cell shown
energy relative to the elements, uncorrected: -1.425 eV per atom
theoretical density: 9.0 g/cm3

---

Total moment
In order: 2.4, 0.0, 2.6, 0.0, 0.0, 0.0, 0.0, 0.0
Unit: μB per formula unit